(1)
Entry from Alexandria: an optimized crystal structure of Cs2AgPb2 (PBE).

Output
Crystal system: tetragonal
DFT formation energy: 0.23 eV/atom
E: -2.161 eV per atom
SG: No. 127
Magnetization: 0.0 μB/f.u.
DOS at the Fermi energy: 0.60 states/eV/atom

Unit cell a=11.6206 b=11.6206 c=3.5702 alpha=90.00 beta=90.00 gamma=90.00
Positions (direct):
Pb  0.0891  0.5891  0.5000
Pb  0.5891  0.9109  0.5000
Pb  0.9109  0.4109  0.5000
Pb  0.4109  0.0891  0.5000
Cs  0.2935  0.7935  0.0000
Cs  0.7935  0.7065  0.0000
Cs  0.7065  0.2065  0.0000
Cs  0.2065  0.2935  0.0000
Ag  0.0000  0.0000  0.0000
Ag  0.5000  0.5000  0.0000



(2)
Entry from Alexandria: an optimized crystal structure of CsAgPb (PBE).

Output
Crystal system: tetragonal
DFT formation energy: 0.01 eV/atom
E: -2.465 eV per atom
SG: No. 84
Magnetization: 0.0 μB/f.u.
DOS at the Fermi energy: 0.49 states/eV/atom

Unit cell a=5.0144 b=10.0660 c=10.0660 alpha=90.00 beta=90.00 gamma=90.00
Positions (direct):
Cs  0.5000  0.2971  0.0502
Cs  0.0000  0.9498  0.2971
Cs  0.0000  0.0502  0.7029
Cs  0.5000  0.7029  0.9498
Ag  0.5000  0.5425  0.3656
Ag  0.5000  0.4575  0.6344
Ag  0.0000  0.3656  0.4575
Ag  0.0000  0.6344  0.5425
Pb  0.5000  0.7653  0.5631
Pb  0.0000  0.4369  0.7653
Pb  0.0000  0.5631  0.2347
Pb  0.5000  0.2347  0.4369



(3)
Entry from Alexandria: an optimized crystal structure of Cs2AgPb2 (PBE).

Output
Crystal system: tetragonal
DFT formation energy: 0.12 eV/atom
E: -2.275 eV per atom
SG: No. 139
Magnetization: 0.0 μB/f.u.
DOS at the Fermi energy: 0.61 states/eV/atom

Unit cell a=7.7888 b=7.7888 c=6.9795 alpha=56.08 beta=56.08 gamma=90.00
Positions (direct):
Pb  0.3362  0.3362  0.3277
Pb  0.6638  0.6638  0.6723
Cs  0.7500  0.2500  0.5000
Cs  0.2500  0.7500  0.5000
Ag  0.0000  0.0000  0.0000



(4)
Entry from Alexandria: an optimized crystal structure of CsAg2Pb2 (PBE).

Output
Crystal system: tetragonal
DFT formation energy: 0.08 eV/atom
E: -2.711 eV per atom
SG: No. 127
Magnetization: 0.0 μB/f.u.
DOS at the Fermi energy: 0.38 states/eV/atom

Unit cell a=9.4105 b=9.4105 c=3.3699 alpha=90.00 beta=90.00 gamma=90.00
Positions (direct):
Pb  0.1455  0.6455  0.5000
Pb  0.6455  0.8545  0.5000
Pb  0.8545  0.3545  0.5000
Pb  0.3545  0.1455  0.5000
Cs  0.0000  0.0000  0.0000
Cs  0.5000  0.5000  0.0000
Ag  0.3648  0.8648  0.0000
Ag  0.8648  0.6352  0.0000
Ag  0.6352  0.1352  0.0000
Ag  0.1352  0.3648  0.0000



Please write out number 1 again, unchanged.
Entry from Alexandria: an optimized crystal structure of Cs2AgPb2 (PBE).

Output
Crystal system: tetragonal
DFT formation energy: 0.23 eV/atom
E: -2.161 eV per atom
SG: No. 127
Magnetization: 0.0 μB/f.u.
DOS at the Fermi energy: 0.60 states/eV/atom

Unit cell a=11.6206 b=11.6206 c=3.5702 alpha=90.00 beta=90.00 gamma=90.00
Positions (direct):
Pb  0.0891  0.5891  0.5000
Pb  0.5891  0.9109  0.5000
Pb  0.9109  0.4109  0.5000
Pb  0.4109  0.0891  0.5000
Cs  0.2935  0.7935  0.0000
Cs  0.7935  0.7065  0.0000
Cs  0.7065  0.2065  0.0000
Cs  0.2065  0.2935  0.0000
Ag  0.0000  0.0000  0.0000
Ag  0.5000  0.5000  0.0000